# BaMnO3

A relaxed structure of BaMnO3 (PBEsol, the Alexandria database).

Cell lengths 5.595, 5.595, 13.587 Å; angles 90.00, 90.00, 120.00 degrees
Positions (direct):
Ba 0.000 0.000 0.250
Ba 0.000 0.000 0.750
Ba 0.333 0.667 0.090
Ba 0.333 0.667 0.410
Ba 0.667 0.333 0.590
Ba 0.667 0.333 0.910
Mn 0.000 0.000 0.000
Mn 0.000 0.000 0.500
Mn 0.333 0.667 0.656
Mn 0.333 0.667 0.844
Mn 0.667 0.333 0.156
Mn 0.667 0.333 0.344
O 0.043 0.521 0.750
O 0.165 0.329 0.581
O 0.165 0.329 0.919
O 0.165 0.835 0.581
O 0.165 0.835 0.919
O 0.329 0.165 0.081
O 0.329 0.165 0.419
O 0.479 0.521 0.750
O 0.479 0.957 0.750
O 0.521 0.043 0.250
O 0.521 0.479 0.250
O 0.671 0.835 0.581
O 0.671 0.835 0.919
O 0.835 0.165 0.081
O 0.835 0.165 0.419
O 0.835 0.671 0.081
O 0.835 0.671 0.419
O 0.957 0.479 0.250

Calculated values
Symmetry: P6_3/mmc
Formation energy (no corrections) in kJ/mol of formula units: -1076

=====

# Ta3MnC

A relaxed structure of Ta3MnC (PBEsol, the Alexandria database).

Cell lengths 4.477, 4.477, 4.477 Å; angles 90.00, 90.00, 90.00 degrees
Positions (direct):
Ta 0.000 0.000 0.500
Ta 0.000 0.500 0.000
Ta 0.500 0.000 0.000
Mn 0.000 0.000 0.000
C 0.500 0.500 0.500

Calculated values
E_form in eV/atom: 1.9585
Symmetry: Pm-3m

=====

# MgTa2Se

A relaxed structure of MgTa2Se (PBEsol, the Alexandria database).

Cell lengths 4.689, 5.365, 5.365 Å; angles 33.13, 90.00, 90.00 degrees
Positions (direct):
Mg 0.000 0.000 0.000
Ta 0.000 0.738 0.738
Ta 0.500 0.352 0.352
Se 0.500 0.640 0.640

Calculated values
Polymorph energy (0 for the lowest one) in eV/f.u.: 0.00
Symmetry: Amm2
Formation energy (no corrections) in kJ/mol of formula units: 46

=====

# Cr2Cd2Tc

A relaxed structure of Cr2Cd2Tc (PBEsol, the Alexandria database).

Cell lengths 6.250, 6.250, 6.250 Å; angles 144.25, 144.25, 51.45 degrees
Positions (direct):
Cr 0.078 0.078 0.000
Cr 0.922 0.922 0.000
Cd 0.250 0.750 0.500
Cd 0.750 0.250 0.500
Tc 0.500 0.500 0.000

Calculated values
E_form in eV/atom: 1.0014
Symmetry: I4/mmm

=====

# NaBe3Pd

A relaxed structure of NaBe3Pd (PBEsol, the Alexandria database).

Cell lengths 4.088, 4.088, 4.088 Å; angles 90.00, 90.00, 90.00 degrees
Positions (direct):
Na 0.000 0.000 0.000
Be 0.000 0.000 0.500
Be 0.000 0.500 0.000
Be 0.500 0.000 0.000
Pd 0.500 0.500 0.500

Calculated values
E_form in eV/atom: 1.6833
Symmetry: Pm-3m

=====

# Li2CuF4

A relaxed structure of Li2CuF4 (PBEsol, the Alexandria database).

Cell lengths 5.543, 5.543, 5.543 Å; angles 111.73, 111.73, 105.05 degrees
Positions (direct):
Li 0.000 0.000 0.000
Li 0.000 0.000 0.500
Li 0.000 0.500 0.000
Li 0.500 0.000 0.500
Cu 0.375 0.625 0.750
Cu 0.625 0.375 0.250
F 0.167 0.711 0.456
F 0.245 0.289 0.956
F 0.289 0.245 0.456
F 0.289 0.833 0.044
F 0.711 0.167 0.956
F 0.711 0.755 0.544
F 0.755 0.711 0.044
F 0.833 0.289 0.544

Calculated values
Polymorph energy (0 for the lowest one) in eV/f.u.: 0.18
Symmetry: I4_1/amd
Formation energy (no corrections) in kJ/mol of formula units: -1554

=====

# Cs3ZnPb

A relaxed structure of Cs3ZnPb (PBEsol, the Alexandria database).

Cell lengths 7.368, 7.368, 7.368 Å; angles 90.00, 90.00, 90.00 degrees
Positions (direct):
Cs 0.000 0.000 0.500
Cs 0.000 0.500 0.000
Cs 0.500 0.000 0.000
Zn 0.500 0.500 0.500
Pb 0.000 0.000 0.000

Calculated values
E_form in eV/atom: 0.3171
Symmetry: Pm-3m

=====

# MgPPt2C

A relaxed structure of MgPPt2C (PBEsol, the Alexandria database).

Cell lengths 4.039, 4.039, 4.481 Å; angles 90.00, 90.00, 90.00 degrees
Positions (direct):
Mg 0.000 0.000 0.000
P 0.500 0.500 0.000
Pt 0.000 0.500 0.500
Pt 0.500 0.000 0.500
C 0.000 0.000 0.500

Calculated values
E_form in eV/atom: 0.3288
Symmetry: P4/mmm

=====

# RbCoAg3

A relaxed structure of RbCoAg3 (PBEsol, the Alexandria database).

Cell lengths 5.388, 5.388, 5.388 Å; angles 90.00, 90.00, 90.00 degrees
Positions (direct):
Rb 0.000 0.000 0.000
Co 0.500 0.500 0.500
Ag 0.000 0.000 0.500
Ag 0.000 0.500 0.000
Ag 0.500 0.000 0.000

Calculated values
Polymorph energy (0 for the lowest one) in eV/f.u.: 7.14
E_form in eV/atom: 2.1294
Symmetry: Pm-3m

=====

# TlIn2Os

A relaxed structure of TlIn2Os (PBEsol, the Alexandria database).

Cell lengths 5.228, 5.228, 5.228 Å; angles 131.72, 131.72, 70.67 degrees
Positions (direct):
Tl 0.000 0.000 0.000
In 0.500 0.500 0.000
In 0.750 0.250 0.500
Os 0.250 0.750 0.500

Calculated values
Polymorph energy (0 for the lowest one) in eV/f.u.: 1.10
E_form in eV/atom: 0.6143
Symmetry: I-4m2

=====

# AgPPbCl2

A relaxed structure of AgPPbCl2 (PBEsol, the Alexandria database).

Cell lengths 4.849, 4.849, 4.981 Å; angles 90.00, 90.00, 90.00 degrees
Positions (direct):
Ag 0.000 0.000 0.000
P 0.000 0.000 0.500
Pb 0.500 0.500 0.500
Cl 0.000 0.500 0.000
Cl 0.500 0.000 0.000

Calculated values
Symmetry: P4/mmm
Formation energy (no corrections) in kJ/mol of formula units: 32

=====

# Cu3Ge

A relaxed structure of Cu3Ge (PBEsol, the Alexandria database).

Cell lengths 5.174, 5.174, 4.203 Å; angles 90.00, 90.00, 120.00 degrees
Positions (direct):
Cu 0.165 0.329 0.250
Cu 0.165 0.835 0.250
Cu 0.329 0.165 0.750
Cu 0.671 0.835 0.250
Cu 0.835 0.165 0.750
Cu 0.835 0.671 0.750
Ge 0.333 0.667 0.750
Ge 0.667 0.333 0.250

Calculated values
E_form in eV/atom: -0.0291
Symmetry: P6_3/mmc

=====

# CoMo2Au

A relaxed structure of CoMo2Au (PBEsol, the Alexandria database).

Cell lengths 2.709, 3.701, 5.749 Å; angles 90.00, 90.00, 90.00 degrees
Positions (direct):
Co 0.000 0.000 0.000
Mo 0.000 0.000 0.461
Mo 0.500 0.500 0.196
Au 0.500 0.500 0.735

Calculated values
E_form in eV/atom: 0.2270
Symmetry: Pmm2

=====

# Ta2SiHg

A relaxed structure of Ta2SiHg (PBEsol, the Alexandria database).

Cell lengths 9.414, 9.414, 9.414 Å; angles 17.88, 17.88, 17.88 degrees
Positions (direct):
Ta 0.245 0.245 0.245
Ta 0.755 0.755 0.755
Si 0.500 0.500 0.500
Hg 0.000 0.000 0.000

Calculated values
Symmetry: R-3m
Formation energy (no corrections) in kJ/mol of formula units: 42

=====

# Sr2GePdS

A relaxed structure of Sr2GePdS (PBEsol, the Alexandria database).

Cell lengths 5.509, 5.509, 4.707 Å; angles 90.00, 90.00, 90.00 degrees
Positions (direct):
Sr 0.000 0.500 0.000
Sr 0.500 0.000 0.000
Ge 0.000 0.000 0.500
Pd 0.500 0.500 0.500
S 0.000 0.000 0.000

Calculated values
Symmetry: P4/mmm
Formation energy (no corrections) in kJ/mol of formula units: -181

=====

# Na7Mg

A relaxed structure of Na7Mg (PBEsol, the Alexandria database).

Cell lengths 7.242, 7.242, 7.242 Å; angles 60.00, 60.00, 60.00 degrees
Positions (direct):
Na 0.000 0.000 0.000
Na 0.000 0.000 0.500
Na 0.000 0.500 0.000
Na 0.000 0.500 0.500
Na 0.500 0.000 0.000
Na 0.500 0.000 0.500
Na 0.500 0.500 0.000
Mg 0.500 0.500 0.500

Calculated values
E_form in eV/atom: 0.0475
Symmetry: Fm-3m

=====

# TlCl5

A relaxed structure of TlCl5 (PBEsol, the Alexandria database).

Cell lengths 5.220, 5.220, 10.048 Å; angles 103.04, 103.04, 44.87 degrees
Positions (direct):
Tl 0.000 0.000 0.000
Cl 0.282 0.282 0.930
Cl 0.353 0.353 0.583
Cl 0.542 0.542 0.719
Cl 0.689 0.689 0.289
Cl 0.897 0.897 0.276

Calculated values
Polymorph energy (0 for the lowest one) in eV/f.u.: 0.00
Symmetry: Cm
Formation energy (no corrections) in kJ/mol of formula units: -126

=====

# CaPtCl3

A relaxed structure of CaPtCl3 (PBEsol, the Alexandria database).

Cell lengths 4.883, 4.883, 4.883 Å; angles 90.00, 90.00, 90.00 degrees
Positions (direct):
Ca 0.000 0.000 0.000
Pt 0.500 0.500 0.500
Cl 0.000 0.500 0.500
Cl 0.500 0.000 0.500
Cl 0.500 0.500 0.000

Calculated values
Symmetry: Pm-3m
Formation energy (no corrections) in kJ/mol of formula units: -405

=====

# YPt2

A relaxed structure of YPt2 (PBEsol, the Alexandria database).

Cell lengths 5.720, 5.720, 5.720 Å; angles 137.43, 105.36, 89.92 degrees
Positions (direct):
Y 0.305 0.055 0.250
Y 0.695 0.945 0.750
Pt 0.113 0.655 0.459
Pt 0.304 0.345 0.959
Pt 0.696 0.655 0.041
Pt 0.887 0.345 0.541

Calculated values
E_form in eV/atom: -0.9596
Symmetry: Imma

=====

# Ba3Pt

A relaxed structure of Ba3Pt (PBEsol, the Alexandria database).

Cell lengths 7.272, 7.272, 7.272 Å; angles 146.80, 70.58, 119.72 degrees
Positions (direct):
Ba 0.000 0.000 0.000
Ba 0.346 0.517 0.828
Ba 0.689 0.517 0.172
Pt 0.682 0.182 0.500

Calculated values
E_form in eV/atom: -0.3312
Symmetry: Imm2